No. 1
DFT (PBE) results for an optimized crystal structure of LiPrSnPb.

Properties
The total energy comes out at -3.97 eV/atom. The calculation puts the magnetic moment at 0.000 μB per formula unit. The formation energy comes out at -0.37 eV/atom. As for the energy relative to the lowest polymorph listed for this composition: 145 meV/atom. The density of states at the Fermi level is 9.66 states/eV per cell.

```
data_LiPrSnPb
_chemical_formula_sum 'Li4 Pr4 Sn4 Pb4'
_space_group_name_H-M_alt 'F -4 3 m'
_space_group_IT_number 216
_space_group_name_Hall 'F -4 2 3'
_cell_length_a 7.6019
_cell_length_b 7.6019
_cell_length_c 7.6019
_cell_angle_alpha 90.00
_cell_angle_beta 90.00
_cell_angle_gamma 90.00
loop_
_atom_site_label
_atom_site_type_symbol
_atom_site_fract_x
_atom_site_fract_y
_atom_site_fract_z
_atom_site_occupancy
Li1 Li 0.0000 0.0000 0.0000 1
Pr1 Pr 0.0000 0.0000 0.5000 1
Sn1 Sn 0.2500 0.2500 0.7500 1
Pb1 Pb 0.2500 0.2500 0.2500 1
```

No. 2
DFT (PBE) results for an optimized crystal structure of Hf4ZrTc.

Properties
The total energy comes out at -9.93 eV/atom. The calculation puts the magnetic moment at 0.000 μB per formula unit. The formation energy comes out at -0.14 eV/atom. The density of states at the Fermi level is 11.85 states/eV per cell.

```
data_Hf4ZrTc
_chemical_formula_sum 'Hf8 Zr2 Tc2'
_space_group_name_H-M_alt 'C 1 2/m 1'
_space_group_IT_number 12
_space_group_name_Hall '-C 2y'
_cell_length_a 10.3800
_cell_length_b 4.8255
_cell_length_c 6.0091
_cell_angle_alpha 90.00
_cell_angle_beta 123.85
_cell_angle_gamma 90.00
loop_
_atom_site_label
_atom_site_type_symbol
_atom_site_fract_x
_atom_site_fract_y
_atom_site_fract_z
_atom_site_occupancy
Hf1 Hf 0.1478 0.0000 0.3006 1
Hf2 Hf 0.2051 0.0000 0.8464 1
Zr1 Zr 0.0000 0.5000 0.5000 1
Tc1 Tc 0.0000 0.5000 0.0000 1
```

No. 3
DFT (PBE) results for an optimized crystal structure of Tl2CrCo.

Properties
The total energy comes out at -4.52 eV/atom. The calculation puts the magnetic moment at 5.624 μB per formula unit. The formation energy comes out at 0.84 eV/atom. As for the energy relative to the lowest polymorph listed for this composition: 328 meV/atom. The density of states at the Fermi level is 16.76 states/eV per cell.

```
data_Tl2CrCo
_chemical_formula_sum 'Tl8 Cr4 Co4'
_space_group_name_H-M_alt 'F -4 3 m'
_space_group_IT_number 216
_space_group_name_Hall 'F -4 2 3'
_cell_length_a 6.8422
_cell_length_b 6.8422
_cell_length_c 6.8422
_cell_angle_alpha 90.00
_cell_angle_beta 90.00
_cell_angle_gamma 90.00
loop_
_atom_site_label
_atom_site_type_symbol
_atom_site_fract_x
_atom_site_fract_y
_atom_site_fract_z
_atom_site_occupancy
Tl1 Tl 0.0000 0.0000 0.0000 1
Tl2 Tl 0.2500 0.2500 0.2500 1
Cr1 Cr 0.2500 0.2500 0.7500 1
Co1 Co 0.0000 0.0000 0.5000 1
```